Compound: ReHgW2
Source: the Alexandria database
Functional: PBE-GGA
Structure: optimized geometry

CIF file:
```
data_ReHgW2
_chemical_formula_sum 'Re2 Hg2 W4'
_cell_length_a 5.652
_cell_length_b 8.212
_cell_length_c 2.854
_cell_angle_alpha 90.00
_cell_angle_beta 90.00
_cell_angle_gamma 90.00
_space_group_name_H-M_alt 'P 1'
_space_group_IT_number 1
_space_group_name_Hall 'P 1'
loop_
_atom_site_label
_atom_site_type_symbol
_atom_site_fract_x
_atom_site_fract_y
_atom_site_fract_z
Re1 Re 0.000 0.000 0.000
Re2 Re 0.500 0.500 0.000
Hg1 Hg 0.000 0.500 0.000
Hg2 Hg 0.500 0.000 0.000
W1 W 0.250 0.250 0.500
W2 W 0.250 0.750 0.500
W3 W 0.750 0.250 0.500
W4 W 0.750 0.750 0.500
```

## Properties
* ΔE_f: 60.7 kJ/mol of atoms
* space-group type: Cmmm
* total magnetic moment: 0.0000 μB/atom

Compound: Tl2ZnSb
Source: the Alexandria database
Functional: PBE-GGA
Structure: optimized geometry

CIF file:
```
data_Tl2ZnSb
_chemical_formula_sum 'Tl8 Zn4 Sb4'
_cell_length_a 8.427
_cell_length_b 8.427
_cell_length_c 6.265
_cell_angle_alpha 90.00
_cell_angle_beta 90.00
_cell_angle_gamma 90.00
_space_group_name_H-M_alt 'P 1'
_space_group_IT_number 1
_space_group_name_Hall 'P 1'
loop_
_atom_site_label
_atom_site_type_symbol
_atom_site_fract_x
_atom_site_fract_y
_atom_site_fract_z
Tl1 Tl 0.233 0.250 0.125
Tl2 Tl 0.250 0.733 0.375
Tl3 Tl 0.250 0.767 0.875
Tl4 Tl 0.267 0.250 0.625
Tl5 Tl 0.733 0.750 0.625
Tl6 Tl 0.750 0.233 0.875
Tl7 Tl 0.750 0.267 0.375
Tl8 Tl 0.767 0.750 0.125
Zn1 Zn 0.000 0.000 0.000
Zn2 Zn 0.000 0.500 0.250
Zn3 Zn 0.500 0.000 0.750
Zn4 Zn 0.500 0.500 0.500
Sb1 Sb 0.000 0.000 0.500
Sb2 Sb 0.000 0.500 0.750
Sb3 Sb 0.500 0.000 0.250
Sb4 Sb 0.500 0.500 0.000
```

## Properties
* energy relative to the lowest polymorph listed for this composition: 0.62 eV per formula unit
* space-group type: I-42d
* total magnetic moment: 0.0000 μB/atom
* ΔE_f (raw): 0.178 eV/atom